12
Lattice="-2.036 3.858 4.112 1.898 -4.863 2.947 4.467 2.438 -3.168" Properties=species:S:1:pos:R:3 comment="MnCu2AgF8 (PBE+U, optimized geometry)" energy_ev_per_atom=-4.41 pbc="T T T"
Mn 3.148 -1.464 1.655
Cu 1.181 2.897 2.237
Cu -0.069 -0.503 3.530
Ag 0.000 0.000 0.000
F 0.761 1.939 0.636
F 1.290 -0.826 2.185
F 3.090 2.628 -0.890
F 1.657 4.261 0.984
F 0.415 0.632 5.026
F -0.020 3.141 3.705
F 2.327 2.246 3.623
F 3.863 0.431 1.462